[1]
ZnCdRh3, relaxed, DFT GGA-PBEsol; electronic total energy = -22.5 eV for the cell shown; formation enthalpy at 0 K = 0.946 eV/atom
1.0
-4.073 0.177 1.822
1.226 -3.037 3.035
1.359 3.268 2.722
Zn Rh Cd
1 3 1
Cartesian
0.000 0.000 0.000
-2.036 0.088 0.911
0.613 -1.519 1.517
0.680 1.634 1.361
-0.744 0.204 3.789

***

[2]
Zn2CuW, relaxed, DFT GGA-PBEsol; electronic total energy = -20.0 eV for the cell shown; formation enthalpy at 0 K = 0.327 eV/atom
1.0
-0.080 2.354 -1.789
-3.703 1.212 1.760
2.155 2.309 2.943
Zn Cu W
2 1 1
Cartesian
0.000 0.000 0.000
1.037 2.332 0.577
-1.892 1.783 -0.014
-0.774 1.760 2.352